# Ac2InCu3Pt4

A relaxed Ac2InCu3Pt4 crystal (PBE-GGA, Alexandria).

```
Ac2InCu3Pt4
1.0
4.232 0.000 0.000
0.000 4.232 0.000
0.000 0.000 11.426
Ac In Cu Pt
2 1 3 4
Cartesian
0.000 2.116 2.602
2.116 0.000 8.824
0.000 0.000 5.713
0.000 2.116 9.947
2.116 0.000 1.479
2.116 2.116 5.713
0.000 0.000 0.000
0.000 2.116 7.424
2.116 0.000 4.003
2.116 2.116 0.000
```

Computed properties:
**Calculated density**: 12.50 g/cm3
**ΔE_f**: -0.6432 eV/atom
**Symmetry**: P-4m2 (115)
**Crystal system**: tetragonal


# HgSe

A relaxed HgSe crystal (PBE-GGA, Alexandria).

```
HgSe
1.0
6.008 0.000 0.000
-3.004 5.203 0.000
0.000 0.000 5.446
Hg Se
3 3
Cartesian
0.000 0.000 0.000
0.000 3.469 2.723
3.004 1.734 2.723
-1.502 2.601 0.000
3.004 0.000 0.000
1.502 2.601 0.000
```

Computed properties:
**Calculated density**: 8.18 g/cm3
**Symmetry**: P6/mmm (191)
**Crystal system**: hexagonal
**Formation energy from raw total energies**: 310 meV/atom


# AlIn2Si

A relaxed AlIn2Si crystal (PBE-GGA, Alexandria).

```
AlIn2Si
1.0
3.229 0.000 0.000
0.000 3.229 0.000
0.000 0.000 8.286
Al In Si
1 2 1
Cartesian
0.000 0.000 0.000
1.615 1.615 2.120
1.615 1.615 6.166
0.000 0.000 4.143
```

Computed properties:
**Calculated density**: 5.47 g/cm3
**Symmetry**: P4/mmm (123)
**Crystal system**: tetragonal
**Formation energy from raw total energies**: 337 meV/atom


Question: Which of these has the highest calculated density?
Answer: Ac2InCu3Pt4


Question: Number 3 is which compound?
Answer: AlIn2Si


Question: Among the records above, which one has the lowest calculated density?
Answer: AlIn2Si